The following is a GGA-PBE calculation of NdPuN3 after structural relaxation, from the Alexandria database.

a = 5.5229 Å, b = 5.9744 Å, c = 5.9744 Å
α = 120.00°, β = 90.00°, γ = 90.00°
Element x y z (fractional)
N 0.0000 0.0000 0.2822
N 0.5000 0.2822 0.2822
Pu 0.7500 0.0000 0.0000
Pu 0.2500 0.0000 0.0000
N 0.0000 0.2822 0.0000
N 0.5000 0.0000 0.7178
N 0.0000 0.7178 0.7178
Nd 0.7500 0.3333 0.6667
Nd 0.2500 0.6667 0.3333
N 0.5000 0.7178 0.0000

Summary:
* total magnetic moment: 2.00 μB/f.u.
* E_form (uncorrected): -0.7145 eV/atom
* V: 17.072 Å³/atom


The following is a GGA-PBE calculation of NdPu2N3 after structural relaxation, from the Alexandria database.

a = 4.7570 Å, b = 6.4901 Å, c = 6.4901 Å
α = 85.24°, β = 90.00°, γ = 90.00°
Element x y z (fractional)
Pu 0.5000 0.8186 0.8186
Nd 0.2500 0.3543 0.6457
N 0.7500 0.2562 0.4433
N 0.2500 0.9037 0.0963
Nd 0.7500 0.6457 0.3543
Pu 0.5000 0.1814 0.1814
Pu 0.0000 0.1814 0.1814
N 0.2500 0.7438 0.5567
Pu 0.0000 0.8186 0.8186
N 0.7500 0.0963 0.9037
N 0.7500 0.5567 0.7438
N 0.2500 0.4433 0.2562

Summary:
* total magnetic moment: 2.04 μB/f.u.
* E_form (uncorrected): -0.2727 eV/atom
* V: 16.640 Å³/atom


The following is a GGA-PBE calculation of NdPu2N3 after structural relaxation, from the Alexandria database.

a = 3.5205 Å, b = 5.0261 Å, c = 6.1182 Å
α = 114.25°, β = 106.72°, γ = 90.00°
Element x y z (fractional)
N 0.8176 0.3176 0.1352
Pu 0.1657 0.1657 0.8313
N 0.1824 0.6824 0.8648
N 0.5000 0.0000 0.5000
Nd 0.5000 0.5000 0.5000
Pu 0.8343 0.8343 0.1687

Summary:
* total magnetic moment: 9.47 μB/f.u.
* E_form (uncorrected): -1.2927 eV/atom
* V: 15.610 Å³/atom


The following is a GGA-PBE calculation of Nd2PuN after structural relaxation, from the Alexandria database.

a = 3.5391 Å, b = 3.5391 Å, c = 9.9759 Å
α = 79.78°, β = 79.78°, γ = 60.00°
Element x y z (fractional)
N 0.5000 0.5000 0.5000
Pu 0.0000 0.0000 0.0000
Nd 0.1183 0.1183 0.6451
Nd 0.8817 0.8817 0.3549

Summary:
* total magnetic moment: 5.94 μB/f.u.
* E_form (uncorrected): -0.4089 eV/atom
* V: 26.478 Å³/atom


The following is a GGA-PBE calculation of NdPu2ReN4 after structural relaxation, from the Alexandria database.

a = 3.3559 Å, b = 6.1793 Å, c = 11.6190 Å
α = 90.00°, β = 90.00°, γ = 105.76°
Element x y z (fractional)
N 0.4575 0.9149 0.7500
Re 0.8531 0.7062 0.7500
N 0.2656 0.5312 0.3782
Pu 0.3683 0.7365 0.5463
N 0.7344 0.4688 0.8782
N 0.7344 0.4688 0.6218
N 0.5425 0.0851 0.2500
Nd 0.8859 0.7718 0.2500
N 0.2656 0.5312 0.1218
Pu 0.6317 0.2635 0.4537
Nd 0.1141 0.2282 0.7500
Pu 0.6317 0.2635 0.0463
Re 0.1469 0.2938 0.2500
N 0.0000 0.0000 0.0000
Pu 0.3683 0.7365 0.9537
N 0.0000 0.0000 0.5000

Summary:
* total magnetic moment: 8.01 μB/f.u.
* E_form (uncorrected): -0.8998 eV/atom
* V: 14.493 Å³/atom


The following is a GGA-PBE calculation of Nd2PuReN4 after structural relaxation, from the Alexandria database.

a = 3.4762 Å, b = 6.2488 Å, c = 12.1507 Å
α = 90.00°, β = 90.00°, γ = 106.15°
Element x y z (fractional)
Pu 0.8777 0.7554 0.2500
N 0.7284 0.4569 0.8605
N 0.7284 0.4569 0.6395
Nd 0.6321 0.2642 0.0391
N 0.0000 0.0000 0.5000
N 0.0000 0.0000 0.0000
Re 0.1466 0.2933 0.2500
Nd 0.3679 0.7358 0.9609
Nd 0.3679 0.7358 0.5391
N 0.2716 0.5431 0.3605
Nd 0.6321 0.2642 0.4609
N 0.2716 0.5431 0.1395
N 0.4324 0.8648 0.7500
Re 0.8534 0.7067 0.7500
N 0.5676 0.1352 0.2500
Pu 0.1223 0.2446 0.7500

Summary:
* total magnetic moment: 5.09 μB/f.u.
* E_form (uncorrected): -0.7643 eV/atom
* V: 15.845 Å³/atom